Entry 1:
Density functional theory data (GGA-PBE) for an optimized crystal structure of Li2Ga3Pd8.

## Properties
* theoretical density: 8.31 g cm⁻³
* VASP energy: -57.23 eV/cell
* symmetry: No. 166

Cell: 5.3031 5.3031 9.3278 Å, 73.49 73.49 60.00°
Element x y z (fractional)
Li: 0.6294 0.6294 0.1118
Li: 0.3706 0.3706 0.8882
Ga: 0.0000 0.0000 0.0000
Ga: 0.8088 0.8088 0.5737
Ga: 0.1912 0.1912 0.4263
Pd: 0.7183 0.7183 0.8452
Pd: 0.2817 0.2817 0.1548
Pd: 0.2203 0.7195 0.3408
Pd: 0.7195 0.2203 0.3408
Pd: 0.7195 0.7195 0.3408
Pd: 0.2805 0.7797 0.6592
Pd: 0.7797 0.2805 0.6592
Pd: 0.2805 0.2805 0.6592


Entry 2:
Density functional theory data (GGA-PBE) for an optimized crystal structure of Mg7CdPt4.

## Properties
* theoretical density: 7.59 g cm⁻³
* VASP energy: -42.08 eV/cell
* symmetry: No. 12

Cell: 4.8742 7.8763 6.8691 Å, 76.97 69.22 71.98°
Element x y z (fractional)
Mg: 0.7822 0.8725 0.5631
Mg: 0.2178 0.1275 0.4369
Mg: 0.0676 0.6327 0.2320
Mg: 0.9324 0.3673 0.7680
Mg: 0.3141 0.6293 0.7425
Mg: 0.5000 0.0000 0.0000
Mg: 0.6859 0.3707 0.2575
Cd: 0.0000 0.0000 0.0000
Pt: 0.5653 0.2217 0.6477
Pt: 0.4347 0.7783 0.3523
Pt: 0.6949 0.6584 0.9517
Pt: 0.3051 0.3416 0.0483


Entry 3:
Density functional theory data (GGA-PBE) for an optimized crystal structure of VZn5I12.

## Properties
* theoretical density: 4.79 g cm⁻³
* E_form (uncorrected): -0.465 eV/atom
* symmetry: No. 2

Cell: 7.1029 7.1058 15.0755 Å, 89.93 89.91 60.02°
Last column: magnetic moment on the atom in μB.
Element x y z (fractional)
V: 0.0000 0.0000 0.0000  2.51
Zn: 0.5000 0.0000 0.5000  0.00
Zn: 0.1666 0.6668 0.5000  0.00
Zn: 0.8334 0.3333 0.5000  0.00
Zn: 0.6669 0.6667 0.0000  0.04
Zn: 0.3332 0.3333 0.0000  0.04
I: 0.8339 0.0001 0.3920  0.00
I: 0.1661 0.9999 0.6080  0.00
I: 0.6731 0.0002 0.8937  -0.02
I: 0.3268 0.9998 0.1062  -0.02
I: 0.3272 0.6731 0.8938  -0.02
I: 0.9999 0.6729 0.1063  -0.02
I: 0.0001 0.3272 0.8937  -0.02
I: 0.6728 0.3269 0.1062  -0.02
I: 0.4994 0.3333 0.6079  0.00
I: 0.8327 0.6666 0.6079  0.00
I: 0.1673 0.3334 0.3921  0.00
I: 0.5006 0.6667 0.3920  0.00